Here is Tm4Ru3Rh after structural relaxation from Alexandria via LeMat-Bulk. Energies are from PBE-GGA.

Cell and atoms, written as POSCAR:
```
Tm4Ru3Rh
1.0
3.3598 0.0000 0.0000
0.0000 3.3598 0.0000
0.0000 0.0000 13.4196
Tm Ru Rh
4 3 1
direct
0.0000 0.0000 0.1242
0.0000 0.0000 0.3714
0.0000 0.0000 0.6286
0.0000 0.0000 0.8758
0.5000 0.5000 0.0000
0.5000 0.5000 0.2509
0.5000 0.5000 0.7491
0.5000 0.5000 0.5000
```

Space-group type: P4/mmm, No. 123
Raw total energy (eV per atom): -7.211
Energy relative to the elements (meV per atom): -578
N(E_F) (states/eV/cell): 4.1